Entry 1:
A plane-wave DFT calculation with GGA-PBE was carried out for crystalline FeReAg4 at its relaxed geometry.

```
FeReAg4
1.0
0.000 3.741 3.741
3.741 0.000 3.741
3.741 3.741 0.000
Fe Re Ag
1 1 4
direct
0.750 0.750 0.750 Fe
0.000 0.000 0.000 Re
0.875 0.375 0.375 Ag
0.375 0.375 0.875 Ag
0.375 0.875 0.375 Ag
0.375 0.375 0.375 Ag
```

Fermi-level density of states in states/eV per cell: 3.81
Formation enthalpy at 0 K in eV/atom: 0.982

=====

Entry 2:
A plane-wave DFT calculation with GGA-PBE was carried out for crystalline SrMn2Ag at its relaxed geometry.

```
SrMn2Ag
1.0
4.841 0.000 0.000
0.000 4.841 0.000
2.421 2.421 9.435
Sr Mn Ag
2 4 2
direct
0.500 0.500 0.000 Sr
0.250 0.750 0.500 Sr
0.908 0.125 0.250 Mn
0.842 0.625 0.250 Mn
0.375 0.092 0.750 Mn
0.875 0.158 0.750 Mn
0.000 0.000 0.000 Ag
0.750 0.250 0.500 Ag
```

Fermi-level density of states in states/eV per cell: 8.05
Formation enthalpy at 0 K in eV/atom: 0.665